# 1
{"formula": "Ca3ScW", "functional": "PBE-GGA", "state": "optimized geometry", "lattice_angstrom": [[5.612, 0.000, 0.000], [0.000, 5.612, 0.000], [0.000, 0.000, 5.612]], "species": ["Ca", "Ca", "Ca", "Sc", "W"], "frac_coords": [[0.000, 0.000, 0.500], [0.000, 0.500, 0.000], [0.500, 0.000, 0.000], [0.500, 0.500, 0.500], [0.000, 0.000, 0.000]], "sg": "Pm-3m", "density_g_cm3": 3.3, "delta_e_f_ev_per_atom": 1.136, "m_tot_mub_per_fu": 2.05, "relative_energy_ev_per_fu": 0.00}


# 2
{"formula": "Sr6CdN2", "functional": "PBE-GGA", "state": "optimized geometry", "lattice_angstrom": [[7.498, -2.335, 0.000], [7.498, 2.335, 0.000], [-1.844, 0.000, 9.894]], "species": ["Sr", "Sr", "Sr", "Sr", "Sr", "Sr", "Cd", "N", "N"], "frac_coords": [[0.099, 0.099, 0.218], [0.194, 0.194, 0.894], [0.341, 0.341, 0.387], [0.659, 0.659, 0.613], [0.806, 0.806, 0.106], [0.901, 0.901, 0.782], [0.000, 0.000, 0.500], [0.246, 0.246, 0.157], [0.754, 0.754, 0.843]], "sg": "C2/m", "density_g_cm3": 3.2, "m_tot_mub_per_fu": 0.00, "formation_energy_uncorrected_ev_per_atom": -0.336}


# 3
{"formula": "CsMg2Ga2", "functional": "PBE-GGA", "state": "optimized geometry", "lattice_angstrom": [[9.244, 0.000, 0.000], [0.000, 9.244, 0.000], [0.000, 0.000, 3.226]], "species": ["Cs", "Cs", "Mg", "Mg", "Mg", "Mg", "Ga", "Ga", "Ga", "Ga"], "frac_coords": [[0.000, 0.000, 0.000], [0.500, 0.500, 0.000], [0.132, 0.368, 0.500], [0.368, 0.868, 0.500], [0.632, 0.132, 0.500], [0.868, 0.632, 0.500], [0.147, 0.647, 0.000], [0.353, 0.147, 0.000], [0.647, 0.853, 0.000], [0.853, 0.353, 0.000]], "sg": "P4/mbm", "density_g_cm3": 3.9, "delta_e_f_ev_per_atom": 0.087, "m_tot_mub_per_fu": 0.00, "relative_energy_ev_per_fu": 0.36}


# 4
{"formula": "K2TlGaBr4", "functional": "PBE-GGA", "state": "optimized geometry", "lattice_angstrom": [[8.094, 0.000, 0.000], [0.000, 4.694, 0.000], [-2.718, 0.000, 7.670]], "species": ["K", "K", "Tl", "Ga", "Br", "Br", "Br", "Br"], "frac_coords": [[0.000, 0.000, 0.000], [0.000, 0.500, 0.500], [0.500, 0.000, 0.500], [0.500, 0.500, 0.000], [0.250, 0.500, 0.239], [0.258, 0.000, 0.763], [0.742, 0.000, 0.237], [0.750, 0.500, 0.761]], "sg": "P2/m", "density_g_cm3": 3.8, "m_tot_mub_per_fu": 0.00, "formation_energy_uncorrected_ev_per_atom": -1.213}


# 5
{"formula": "Ta2CdCl", "functional": "PBE-GGA", "state": "optimized geometry", "lattice_angstrom": [[4.919, 0.000, 0.000], [0.000, 4.919, 0.000], [0.000, 0.000, 2.980]], "species": ["Ta", "Ta", "Cd", "Cl"], "frac_coords": [[0.000, 0.500, 0.000], [0.500, 0.000, 0.000], [0.000, 0.000, 0.500], [0.500, 0.500, 0.500]], "sg": "P4/mmm", "density_g_cm3": 11.7, "m_tot_mub_per_fu": 0.00, "formation_energy_uncorrected_ev_per_atom": 0.712, "relative_energy_ev_per_fu": 3.11}


# 6
{"formula": "PrYHgRh", "functional": "PBE-GGA", "state": "optimized geometry", "lattice_angstrom": [[0.000, 3.652, 3.652], [3.652, 0.000, 3.652], [3.652, 3.652, 0.000]], "species": ["Pr", "Y", "Hg", "Rh"], "frac_coords": [[0.000, 0.000, 0.000], [0.500, 0.500, 0.500], [0.750, 0.750, 0.750], [0.250, 0.250, 0.250]], "sg": "F-43m", "density_g_cm3": 9.1, "delta_e_f_ev_per_atom": -0.540, "m_tot_mub_per_fu": 0.00}


# 7
{"formula": "CaPr9Er2", "functional": "PBE-GGA", "state": "optimized geometry", "lattice_angstrom": [[5.210, 0.000, 0.000], [0.000, 5.210, 0.000], [0.000, 0.000, 15.662]], "species": ["Ca", "Pr", "Pr", "Pr", "Pr", "Pr", "Pr", "Pr", "Pr", "Pr", "Er", "Er"], "frac_coords": [[0.000, 0.000, 0.000], [0.000, 0.500, 0.173], [0.000, 0.500, 0.500], [0.000, 0.500, 0.827], [0.500, 0.000, 0.173], [0.500, 0.000, 0.500], [0.500, 0.000, 0.827], [0.500, 0.500, 0.000], [0.500, 0.500, 0.335], [0.500, 0.500, 0.665], [0.000, 0.000, 0.335], [0.000, 0.000, 0.665]], "sg": "P4/mmm", "density_g_cm3": 6.4, "delta_e_f_ev_per_atom": 0.027, "m_tot_mub_per_fu": 0.00}


# 8
{"formula": "TbZrPb2O6", "functional": "PBE-GGA", "state": "optimized geometry", "lattice_angstrom": [[5.865, 0.000, 0.000], [0.000, 6.072, 0.000], [-5.853, 0.000, 8.480]], "species": ["Tb", "Tb", "Zr", "Zr", "Pb", "Pb", "Pb", "Pb", "O", "O", "O", "O", "O", "O", "O", "O", "O", "O", "O", "O"], "frac_coords": [[0.000, 0.000, 0.000], [0.000, 0.500, 0.500], [0.500, 0.000, 0.500], [0.500, 0.500, 0.000], [0.240, 0.036, 0.749], [0.240, 0.464, 0.249], [0.760, 0.536, 0.751], [0.760, 0.964, 0.251], [0.146, 0.184, 0.446], [0.146, 0.316, 0.946], [0.265, 0.703, 0.443], [0.265, 0.797, 0.943], [0.371, 0.039, 0.260], [0.371, 0.461, 0.760], [0.629, 0.539, 0.240], [0.629, 0.961, 0.740], [0.735, 0.203, 0.057], [0.735, 0.297, 0.557], [0.854, 0.684, 0.054], [0.854, 0.816, 0.554]], "sg": "P2_1/c", "density_g_cm3": 8.4, "m_tot_mub_per_fu": 0.00, "formation_energy_uncorrected_ev_per_atom": -2.265}


# 9
{"formula": "SiOs2Br", "functional": "PBE-GGA", "state": "optimized geometry", "lattice_angstrom": [[5.174, -1.443, 0.000], [5.174, 1.443, 0.000], [-0.556, 0.000, 4.193]], "species": ["Si", "Os", "Os", "Br"], "frac_coords": [[0.000, 0.000, 0.000], [0.437, 0.437, 0.439], [0.697, 0.697, 0.210], [0.234, 0.234, 0.705]], "sg": "Cm", "density_g_cm3": 13.0, "m_tot_mub_per_fu": 0.00, "formation_energy_uncorrected_ev_per_atom": 0.816, "relative_energy_ev_per_fu": 1.40}


# 10
{"formula": "LaHg2Se", "functional": "PBE-GGA", "state": "optimized geometry", "lattice_angstrom": [[2.327, 1.344, 6.719], [-2.327, 1.344, 6.719], [0.000, -2.687, 6.719]], "species": ["La", "Hg", "Hg", "Se"], "frac_coords": [[0.000, 0.000, 0.000], [0.572, 0.572, 0.572], [0.835, 0.835, 0.835], [0.397, 0.397, 0.397]], "sg": "R3m", "density_g_cm3": 8.2, "m_tot_mub_per_fu": 0.00, "formation_energy_uncorrected_ev_per_atom": -0.782}


# 11
{"formula": "AlPbCl", "functional": "PBE-GGA", "state": "optimized geometry", "lattice_angstrom": [[-1.646, 1.646, 7.146], [1.646, -1.646, 7.146], [1.646, 1.646, -7.146]], "species": ["Al", "Pb", "Cl"], "frac_coords": [[0.000, 0.000, 0.000], [0.654, 0.654, 0.000], [0.390, 0.390, 0.000]], "sg": "I4mm", "density_g_cm3": 5.8, "m_tot_mub_per_fu": 0.00, "formation_energy_uncorrected_ev_per_atom": -0.159, "relative_energy_ev_per_fu": 0.60}


# 12
{"formula": "LaCd2Os", "functional": "PBE-GGA", "state": "optimized geometry", "lattice_angstrom": [[3.224, 0.000, 0.000], [0.000, 3.224, 0.000], [0.000, 0.000, 8.429]], "species": ["La", "Cd", "Cd", "Os"], "frac_coords": [[0.000, 0.000, 0.000], [0.500, 0.500, 0.299], [0.500, 0.500, 0.701], [0.000, 0.000, 0.500]], "sg": "P4/mmm", "density_g_cm3": 10.5, "delta_e_f_ev_per_atom": 0.385, "m_tot_mub_per_fu": 0.00}


# 13
{"formula": "AcErGa4", "functional": "PBE-GGA", "state": "optimized geometry", "lattice_angstrom": [[4.291, 0.000, 0.000], [-2.145, 3.716, 0.000], [0.000, 0.000, 8.783]], "species": ["Ac", "Er", "Ga", "Ga", "Ga", "Ga"], "frac_coords": [[0.000, 0.000, 0.000], [0.000, 0.000, 0.500], [0.333, 0.667, 0.274], [0.333, 0.667, 0.726], [0.667, 0.333, 0.274], [0.667, 0.333, 0.726]], "sg": "P6/mmm", "density_g_cm3": 8.0, "delta_e_f_ev_per_atom": -0.620, "m_tot_mub_per_fu": 0.00, "relative_energy_ev_per_fu": 0.00}


# 14
{"formula": "PmCoHg", "functional": "PBE-GGA", "state": "optimized geometry", "lattice_angstrom": [[2.023, -8.324, 0.000], [2.023, 8.324, 0.000], [0.000, 0.000, 3.915]], "species": ["Pm", "Pm", "Co", "Co", "Hg", "Hg"], "frac_coords": [[0.098, 0.902, 0.750], [0.902, 0.098, 0.250], [0.467, 0.533, 0.750], [0.533, 0.467, 0.250], [0.299, 0.701, 0.750], [0.701, 0.299, 0.250]], "sg": "Cmcm", "density_g_cm3": 10.2, "delta_e_f_ev_per_atom": -0.291, "m_tot_mub_per_fu": 0.65, "relative_energy_ev_per_fu": 0.00}


# 15
{"formula": "Sr2InBi", "functional": "PBE-GGA", "state": "optimized geometry", "lattice_angstrom": [[-4.528, 4.528, 3.815], [4.528, -4.528, 3.815], [4.528, 4.528, -3.815]], "species": ["Sr", "Sr", "Sr", "Sr", "In", "In", "Bi", "Bi"], "frac_coords": [[0.116, 0.125, 0.492], [0.375, 0.884, 0.008], [0.634, 0.625, 0.508], [0.875, 0.366, 0.992], [0.250, 0.750, 0.500], [0.500, 0.500, 0.000], [0.000, 0.000, 0.000], [0.750, 0.250, 0.500]], "sg": "I-42d", "density_g_cm3": 5.3, "delta_e_f_ev_per_atom": -0.335, "m_tot_mub_per_fu": 0.00, "relative_energy_ev_per_fu": 1.10}


# 16
{"formula": "Pm3TlRu2", "functional": "PBE-GGA", "state": "optimized geometry", "lattice_angstrom": [[3.472, 0.000, 0.000], [0.000, 3.472, 0.000], [0.000, 0.000, 12.093]], "species": ["Pm", "Pm", "Pm", "Tl", "Ru", "Ru"], "frac_coords": [[0.000, 0.000, 0.000], [0.000, 0.000, 0.289], [0.000, 0.000, 0.711], [0.500, 0.500, 0.500], [0.500, 0.500, 0.150], [0.500, 0.500, 0.850]], "sg": "P4/mmm", "density_g_cm3": 9.6, "delta_e_f_ev_per_atom": -0.252, "m_tot_mub_per_fu": 0.00}


# 17
{"formula": "Li2MgH2N2", "functional": "PBE-GGA", "state": "optimized geometry", "lattice_angstrom": [[5.123, 0.000, 0.000], [0.000, 9.724, 0.000], [0.000, 0.000, 5.217]], "species": ["Li", "Li", "Li", "Li", "Li", "Li", "Li", "Li", "Mg", "Mg", "Mg", "Mg", "H", "H", "H", "H", "H", "H", "H", "H", "N", "N", "N", "N", "N", "N", "N", "N"], "frac_coords": [[0.000, 0.011, 0.250], [0.000, 0.254, 0.250], [0.000, 0.746, 0.750], [0.000, 0.989, 0.750], [0.500, 0.246, 0.750], [0.500, 0.489, 0.750], [0.500, 0.511, 0.250], [0.500, 0.754, 0.250], [0.000, 0.261, 0.750], [0.000, 0.739, 0.250], [0.500, 0.239, 0.250], [0.500, 0.761, 0.750], [0.164, 0.444, 0.051], [0.164, 0.556, 0.551], [0.336, 0.056, 0.551], [0.336, 0.944, 0.051], [0.664, 0.056, 0.949], [0.664, 0.944, 0.449], [0.836, 0.444, 0.449], [0.836, 0.556, 0.949], [0.228, 0.141, 0.497], [0.228, 0.859, 0.997], [0.272, 0.359, 0.997], [0.272, 0.641, 0.497], [0.728, 0.359, 0.503], [0.728, 0.641, 0.003], [0.772, 0.141, 0.003], [0.772, 0.859, 0.503]], "sg": "Pbcn", "total_energy_ev_per_atom": -4.711, "density_g_cm3": 1.7, "m_tot_mub_per_fu": 0.00}


# 18
{"formula": "P5Au4", "functional": "PBE-GGA", "state": "optimized geometry", "lattice_angstrom": [[-4.993, 4.993, 1.560], [4.993, -4.993, 1.560], [4.993, 4.993, -1.560]], "species": ["P", "P", "P", "P", "P", "Au", "Au", "Au", "Au"], "frac_coords": [[0.000, 0.000, 0.000], [0.310, 0.310, 0.619], [0.310, 0.690, 0.000], [0.690, 0.310, 0.000], [0.690, 0.690, 0.381], [0.000, 0.319, 0.319], [0.000, 0.681, 0.681], [0.319, 0.000, 0.319], [0.681, 0.000, 0.681]], "sg": "I4/mmm", "density_g_cm3": 10.1, "delta_e_f_ev_per_atom": 0.499, "m_tot_mub_per_fu": 0.00}


# 19
{"formula": "Ac2Zn4BiAu3", "functional": "PBE-GGA", "state": "optimized geometry", "lattice_angstrom": [[4.527, 0.000, 0.000], [0.000, 4.527, 0.000], [0.000, 0.000, 11.354]], "species": ["Ac", "Ac", "Zn", "Zn", "Zn", "Zn", "Bi", "Au", "Au", "Au"], "frac_coords": [[0.000, 0.500, 0.235], [0.500, 0.000, 0.765], [0.000, 0.000, 0.000], [0.000, 0.500, 0.647], [0.500, 0.000, 0.353], [0.500, 0.500, 0.000], [0.000, 0.000, 0.500], [0.000, 0.500, 0.873], [0.500, 0.000, 0.127], [0.500, 0.500, 0.500]], "sg": "P-4m2", "density_g_cm3": 10.8, "delta_e_f_ev_per_atom": -0.499, "m_tot_mub_per_fu": 0.00}


# 20
{"formula": "CsK2NbF6", "functional": "PBE-GGA", "state": "optimized geometry", "lattice_angstrom": [[0.000, 4.876, 4.876], [4.876, 0.000, 4.876], [4.876, 4.876, 0.000]], "species": ["Cs", "K", "K", "Nb", "F", "F", "F", "F", "F", "F"], "frac_coords": [[0.000, 0.000, 0.000], [0.250, 0.250, 0.250], [0.750, 0.750, 0.750], [0.500, 0.500, 0.500], [0.284, 0.284, 0.716], [0.284, 0.716, 0.284], [0.284, 0.716, 0.716], [0.716, 0.284, 0.284], [0.716, 0.284, 0.716], [0.716, 0.716, 0.284]], "sg": "Fm-3m", "density_g_cm3": 3.0, "m_tot_mub_per_fu": 1.97, "formation_energy_uncorrected_ev_per_atom": -2.635}